# Ru2AuCl, optimized geometry, DFT GGA-PBE
data_Ru2AuCl
_space_group_name_H-M_alt 'C 1 2/m 1'
_space_group_IT_number 12
_space_group_name_Hall '-C 2y'
_cell_length_a 7.8011
_cell_length_b 2.9128
_cell_length_c 5.6887
_cell_angle_alpha 90.00
_cell_angle_beta 100.23
_cell_angle_gamma 90.00
loop_
_atom_site_label
_atom_site_fract_x
_atom_site_fract_y
_atom_site_fract_z
Ru1 0.2487 0.0000 0.1986
Au1 0.0000 0.0000 0.5000
Cl1 0.0000 0.5000 0.0000
# Energy, Ry per atom: -0.3848
# Energy relative to the lowest polymorph listed for this composition, eV/atom: 0.4744
# Calculated volume, A^3/atom: 15.90